Record 1
The following is a DFT calculation (GGA-PBE) of Cd2Ag2Bi after structural relaxation.

abc: 8.323 8.323 3.229
angles: 90.00 90.00 90.00
Atoms (fractional coordinates):
Ag1 0.126 0.374 0.000
Ag2 0.374 0.874 0.000
Ag3 0.626 0.126 0.000
Ag4 0.874 0.626 0.000
Cd1 0.331 0.169 0.500
Cd2 0.169 0.669 0.500
Cd3 0.669 0.831 0.500
Cd4 0.831 0.331 0.500
Bi1 0.000 0.000 0.000
Bi2 0.500 0.500 0.000

Computed properties:
- E above lowest polymorph (meV per atom) = 0
- theoretical density (g/cm³) = 9.6
- calculated total energy (Ha/atom) = -0.0827
- formation energy (eV/atom) = 0.032

=====

Record 2
The following is a DFT calculation (GGA-PBE) of Cd2AgBi2 after structural relaxation.

abc: 7.825 7.825 4.645
angles: 90.00 90.00 90.00
Atoms (fractional coordinates):
Bi1 0.342 0.842 0.000
Bi2 0.158 0.342 0.000
Bi3 0.658 0.158 0.000
Bi4 0.842 0.658 0.000
Cd1 0.850 0.350 0.500
Cd2 0.350 0.150 0.500
Cd3 0.150 0.650 0.500
Cd4 0.650 0.850 0.500
Ag1 0.500 0.500 0.000
Ag2 0.000 0.000 0.000

Computed properties:
- E above lowest polymorph (meV per atom) = 1
- theoretical density (g/cm³) = 8.8
- calculated total energy (Ha/atom) = -0.0858
- formation energy (eV/atom) = 0.154

=====

Record 3
The following is a DFT calculation (GGA-PBE) of Cd2Ag2Bi after structural relaxation.

abc: 4.067 4.067 7.609
angles: 74.50 74.50 90.00
Atoms (fractional coordinates):
Ag1 0.400 0.400 0.200
Ag2 0.600 0.600 0.800
Cd1 0.750 0.250 0.500
Cd2 0.250 0.750 0.500
Bi1 0.000 0.000 0.000

Computed properties:
- E above lowest polymorph (meV per atom) = 61
- theoretical density (g/cm³) = 9.3
- calculated total energy (Ha/atom) = -0.0805
- formation energy (eV/atom) = 0.093

=====

Record 4
The following is a DFT calculation (GGA-PBE) of Cd6Ag2Bi after structural relaxation.

abc: 3.321 8.701 8.701
angles: 57.55 78.68 78.68
Atoms (fractional coordinates):
Cd1 0.500 0.666 0.334
Cd2 0.676 0.001 0.644
Cd3 0.324 0.356 0.999
Cd4 0.500 0.334 0.666
Cd5 0.676 0.644 0.001
Cd6 0.324 0.999 0.356
Ag1 0.852 0.647 0.647
Ag2 0.148 0.353 0.353
Bi1 0.000 0.000 0.000

Computed properties:
- theoretical density (g/cm³) = 8.8
- calculated total energy (Ha/atom) = -0.0601
- formation energy (eV/atom) = 0.041

=====

Record 5
The following is a DFT calculation (GGA-PBE) of CeCdAgBi after structural relaxation.

abc: 5.286 5.286 5.286
angles: 60.00 60.00 60.00
Atoms (fractional coordinates):
Cd1 0.750 0.750 0.750
Ag1 0.500 0.500 0.500
Ce1 0.250 0.250 0.250
Bi1 0.000 0.000 0.000

Computed properties:
- theoretical density (g/cm³) = 9.1
- calculated total energy (Ha/atom) = -0.1322
- formation energy (eV/atom) = -0.202

=====

Record 6
The following is a DFT calculation (GGA-PBE) of CdAgBiCl6 after structural relaxation.

abc: 6.850 6.850 12.264
angles: 90.00 90.00 120.00
Atoms (fractional coordinates):
Cl1 0.660 0.652 0.127
Cl2 0.340 0.348 0.873
Cl3 0.008 0.660 0.873
Cl4 0.652 0.660 0.627
Cl5 0.348 0.340 0.373
Cl6 0.660 0.008 0.373
Cl7 0.008 0.348 0.627
Cl8 0.340 0.992 0.627
Cl9 0.652 0.992 0.873
Cl10 0.992 0.340 0.127
Cl11 0.348 0.008 0.127
Cl12 0.992 0.652 0.373
Cd1 0.333 0.667 0.750
Cd2 0.667 0.333 0.250
Ag1 0.000 0.000 0.500
Ag2 0.000 0.000 0.000
Bi1 0.333 0.667 0.250
Bi2 0.667 0.333 0.750

Computed properties:
- ΔE_f (raw) (eV/atom) = -0.887
- theoretical density (g/cm³) = 4.3
- calculated total energy (Ha/atom) = -0.1091

=====

Record 7
The following is a DFT calculation (GGA-PBE) of CdInAgBi after structural relaxation.

abc: 5.235 5.235 5.235
angles: 60.00 60.00 60.00
Atoms (fractional coordinates):
Ag1 0.750 0.750 0.750
Cd1 0.250 0.250 0.250
Bi1 0.500 0.500 0.500
In1 0.000 0.000 0.000

Computed properties:
- theoretical density (g/cm³) = 8.9
- calculated total energy (Ha/atom) = -0.0918
- formation energy (eV/atom) = 0.097

=====

Record 8
The following is a DFT calculation (GGA-PBE) of CdIn2Ag7Bi2 after structural relaxation.

abc: 4.841 4.841 13.729
angles: 65.53 65.53 79.94
Atoms (fractional coordinates):
Ag1 0.359 0.860 0.141
Ag2 0.188 0.188 0.501
Ag3 0.140 0.641 0.859
Ag4 0.500 0.500 0.000
Ag5 0.860 0.359 0.141
Ag6 0.641 0.140 0.859
Ag7 0.812 0.812 0.499
Bi1 0.338 0.338 0.664
Bi2 0.662 0.662 0.336
In1 0.780 0.780 0.718
In2 0.220 0.220 0.282
Cd1 0.000 0.000 0.000

Computed properties:
- theoretical density (g/cm³) = 9.4
- calculated total energy (Ha/atom) = -0.1025
- formation energy (eV/atom) = 0.054

=====

Record 9
The following is a DFT calculation (GGA-PBE) of K2Cd12Ag3Bi after structural relaxation.

abc: 11.883 11.883 11.883
angles: 35.70 35.70 35.70
Atoms (fractional coordinates):
Cd1 0.413 0.413 0.807
Cd2 0.807 0.413 0.413
Cd3 0.115 0.115 0.569
Cd4 0.587 0.193 0.587
Cd5 0.569 0.115 0.115
Cd6 0.885 0.885 0.431
Cd7 0.587 0.587 0.193
Cd8 0.413 0.807 0.413
Cd9 0.115 0.569 0.115
Cd10 0.885 0.431 0.885
Cd11 0.193 0.587 0.587
Cd12 0.431 0.885 0.885
Ag1 0.000 0.000 0.500
Ag2 0.500 0.000 0.000
Ag3 0.000 0.500 0.000
K1 0.641 0.641 0.641
K2 0.359 0.359 0.359
Bi1 0.000 0.000 0.000

Computed properties:
- theoretical density (g/cm³) = 6.4
- calculated total energy (Ha/atom) = -0.0509
- formation energy (eV/atom) = 0.037

=====

Record 10
The following is a DFT calculation (GGA-PBE) of K2Cd3AgBi4 after structural relaxation.

abc: 5.091 5.091 12.596
angles: 90.00 90.00 90.00
Atoms (fractional coordinates):
Cd1 0.500 0.000 0.859
Cd2 0.000 0.500 0.141
Cd3 0.000 0.000 0.500
Bi1 0.000 0.000 0.000
Bi2 0.500 0.000 0.628
Bi3 0.000 0.500 0.372
Bi4 0.500 0.500 0.000
Ag1 0.500 0.500 0.500
K1 0.000 0.500 0.738
K2 0.500 0.000 0.262

Computed properties:
- theoretical density (g/cm³) = 6.9
- calculated total energy (Ha/atom) = -0.0926
- formation energy (eV/atom) = -0.188

=====

Record 11
The following is a DFT calculation (GGA-PBE) of KCd2AgBi after structural relaxation.

abc: 5.376 5.376 5.748
angles: 90.00 90.00 90.00
Atoms (fractional coordinates):
K1 0.500 0.500 0.500
Cd1 0.500 0.000 0.000
Cd2 0.000 0.500 0.000
Bi1 0.000 0.000 0.500
Ag1 0.000 0.000 0.000

Computed properties:
- theoretical density (g/cm³) = 5.8
- calculated total energy (Ha/atom) = -0.0687
- formation energy (eV/atom) = 0.062

=====

Record 12
The following is a DFT calculation (GGA-PBE) of MgCdAgBi after structural relaxation.

abc: 5.111 5.111 5.111
angles: 60.00 60.00 60.00
Atoms (fractional coordinates):
Mg1 0.500 0.500 0.500
Ag1 0.000 0.000 0.000
Cd1 0.750 0.750 0.750
Bi1 0.250 0.250 0.250

Computed properties:
- theoretical density (g/cm³) = 8.0
- calculated total energy (Ha/atom) = -0.0850
- formation energy (eV/atom) = -0.003